1.
# SrHg2Sb

SrHg2Sb after structural relaxation (PBEsol, Alexandria).

Lattice parameters (Å, degrees): 6.5391 6.6696 5.4143 90.00 90.00 90.00
Space group Cmmm (No. 65)
Symmetry-distinct sites (fractional):
Sr (0.0000, 0.0000, 0.0000) x2
Hg (0.0000, 0.2701, 0.5000) x4
Sb (0.0000, 0.5000, 0.0000) x2

## Properties
Formation energy without anion corrections = -0.433 eV per atom
M_tot = 0.00 μB per atom
DOS at the Fermi energy = 1.8 states/eV/f.u.

2.
# SrHg2Sb

SrHg2Sb after structural relaxation (PBEsol, Alexandria).

Lattice parameters (Å, degrees): 4.7780 4.7780 9.3002 90.00 90.00 90.00
Space group I4/mmm (No. 139)
Symmetry-distinct sites (fractional):
Sr (0.0000, 0.0000, 0.0000) x2
Hg (0.0000, 0.5000, 0.2500) x4
Sb (0.0000, 0.0000, 0.5000) x2

## Properties
Formation energy without anion corrections = -0.508 eV per atom
M_tot = 0.00 μB per atom
DOS at the Fermi energy = 1.0 states/eV/f.u.

3.
# SrHg2Sb

SrHg2Sb after structural relaxation (PBEsol, Alexandria).

Lattice parameters (Å, degrees): 4.9596 4.9596 15.5459 90.00 90.00 120.00
Space group R-3m (No. 166, hexagonal axes)
Symmetry-distinct sites (fractional):
Sr (0.0000, 0.0000, 0.0000) x3
Hg (0.0000, 0.0000, 0.2393) x6
Sb (0.0000, 0.0000, 0.5000) x3

## Properties
Formation energy without anion corrections = -0.462 eV per atom
M_tot = 0.00 μB per atom
DOS at the Fermi energy = 1.6 states/eV/f.u.

4.
# SrHg2Sb

SrHg2Sb after structural relaxation (PBEsol, Alexandria).

Lattice parameters (Å, degrees): 4.5951 4.5951 5.0097 90.00 90.00 90.00
Space group P4/mmm (No. 123)
Symmetry-distinct sites (fractional):
Sr (0.0000, 0.0000, 0.0000) x1
Hg (0.0000, 0.5000, 0.5000) x2
Sb (0.5000, 0.5000, 0.0000) x1

## Properties
Formation energy without anion corrections = -0.469 eV per atom
M_tot = 0.00 μB per atom
DOS at the Fermi energy = 1.6 states/eV/f.u.

5.
# SrHg2Sb

SrHg2Sb after structural relaxation (PBEsol, Alexandria).

Lattice parameters (Å, degrees): 7.6018 7.6018 7.6018 90.00 90.00 90.00
Space group F-43m (No. 216)
Symmetry-distinct sites (fractional):
Sr (0.0000, 0.0000, 0.0000) x4
Hg (0.0000, 0.0000, 0.5000) x4
Hg (0.2500, 0.2500, 0.7500) x4
Sb (0.2500, 0.2500, 0.2500) x4

## Properties
Formation energy without anion corrections = -0.428 eV per atom
M_tot = 0.00 μB per atom
DOS at the Fermi energy = 1.2 states/eV/f.u.

6.
# Sr2ZnHgSb

Sr2ZnHgSb after structural relaxation (PBEsol, Alexandria).

Lattice parameters (Å, degrees): 5.9541 5.9541 4.8340 90.00 90.00 90.00
Space group P4/mmm (No. 123)
Symmetry-distinct sites (fractional):
Sr (0.0000, 0.5000, 0.0000) x2
Zn (0.0000, 0.0000, 0.5000) x1
Hg (0.0000, 0.0000, 0.0000) x1
Sb (0.5000, 0.5000, 0.5000) x1

## Properties
Formation energy without anion corrections = -0.211 eV per atom
M_tot = 0.00 μB per atom
DOS at the Fermi energy = 3.6 states/eV/f.u.

7.
# Ta2HgSb

Ta2HgSb after structural relaxation (PBEsol, Alexandria).

Lattice parameters (Å, degrees): 4.5051 4.5051 7.4349 90.00 90.00 90.00
Space group I4/mmm (No. 139)
Symmetry-distinct sites (fractional):
Ta (0.0000, 0.5000, 0.2500) x4
Hg (0.0000, 0.0000, 0.0000) x2
Sb (0.0000, 0.0000, 0.5000) x2

## Properties
Formation energy without anion corrections = 0.352 eV per atom
M_tot = 0.00 μB per atom
DOS at the Fermi energy = 2.7 states/eV/f.u.
Polymorph energy (0 for the lowest one) = 84 meV per atom

8.
# Ta2HgSb

Ta2HgSb after structural relaxation (PBEsol, Alexandria).

Lattice parameters (Å, degrees): 10.4580 2.9984 5.0636 90.00 105.40 90.00
Space group Cm (No. 8)
Symmetry-distinct sites (fractional):
Ta (0.0000, 0.0000, 0.0000) x2
Ta (0.2368, 0.5000, 0.3385) x2
Hg (0.2506, 0.0000, 0.8523) x2
Sb (0.4834, 0.0000, 0.4939) x2

## Properties
Formation energy without anion corrections = 0.276 eV per atom
M_tot = 0.00 μB per atom
DOS at the Fermi energy = 3.3 states/eV/f.u.
Polymorph energy (0 for the lowest one) = 8 meV per atom

9.
# Ta2HgSb

Ta2HgSb after structural relaxation (PBEsol, Alexandria).

Lattice parameters (Å, degrees): 6.8080 6.8080 6.8080 90.00 90.00 90.00
Space group F-43m (No. 216)
Symmetry-distinct sites (fractional):
Ta (0.0000, 0.0000, 0.0000) x4
Ta (0.2500, 0.2500, 0.2500) x4
Hg (0.0000, 0.0000, 0.5000) x4
Sb (0.2500, 0.2500, 0.7500) x4

## Properties
Formation energy without anion corrections = 0.641 eV per atom
M_tot = 0.00 μB per atom
DOS at the Fermi energy = 4.3 states/eV/f.u.
Polymorph energy (0 for the lowest one) = 372 meV per atom

10.
# Ta2HgSb

Ta2HgSb after structural relaxation (PBEsol, Alexandria).

Lattice parameters (Å, degrees): 2.9229 2.9229 9.8839 90.00 90.00 90.00
Space group P4mm (No. 99)
Symmetry-distinct sites (fractional):
Ta (0.0000, 0.0000, 0.0000) x1
Ta (0.5000, 0.5000, 0.2236) x1
Hg (0.0000, 0.0000, 0.4427) x1
Sb (0.5000, 0.5000, 0.7754) x1

## Properties
Formation energy without anion corrections = 0.268 eV per atom
M_tot = 0.00 μB per atom
DOS at the Fermi energy = 3.0 states/eV/f.u.
Polymorph energy (0 for the lowest one) = 0 meV per atom

11.
# TaHgSb2

TaHgSb2 after structural relaxation (PBEsol, Alexandria).

Lattice parameters (Å, degrees): 4.5246 4.5246 8.4369 90.00 90.00 90.00
Space group I4/mmm (No. 139)
Symmetry-distinct sites (fractional):
Ta (0.0000, 0.0000, 0.0000) x2
Hg (0.0000, 0.0000, 0.5000) x2
Sb (0.0000, 0.5000, 0.2500) x4

## Properties
Formation energy without anion corrections = 0.406 eV per atom
M_tot = 0.17 μB per atom
DOS at the Fermi energy = 3.9 states/eV/f.u.

12.
# TaHgSb2

TaHgSb2 after structural relaxation (PBEsol, Alexandria).

Lattice parameters (Å, degrees): 8.4636 6.7706 3.1593 90.00 102.02 90.00
Space group C2/m (No. 12)
Symmetry-distinct sites (fractional):
Ta (0.0000, 0.0000, 0.0000) x2
Hg (0.0000, 0.5000, 0.0000) x2
Sb (0.2500, 0.2500, 0.5000) x4

## Properties
Formation energy without anion corrections = 0.385 eV per atom
M_tot = 0.00 μB per atom
DOS at the Fermi energy = 2.5 states/eV/f.u.